No. 1
CaHf (PBE, optimized geometry); total magnetization = 0.00 μB/cell; final energy = -5.345 eV per atom; theoretical density = 6.09 g cm⁻³; ΔH_f (0 K) = 1.27 eV per formula unit; distance to the lowest polymorph of the same formula = 247 meV per atom
1.0
-4.0581 -3.9209 1.5498
8.2242 -12.0354 -8.9140
5.1147 -2.2354 7.7371
Ca Hf
16 16
Direct
0.7500 0.2500 0.9154
0.7500 0.7500 0.0846
0.7500 0.7500 0.4154
0.2500 0.2500 0.4154
0.0000 0.5000 0.1654
0.5000 0.5000 0.6654
0.0000 0.0000 0.3346
0.2500 0.7500 0.9154
0.2500 0.7500 0.5846
0.7500 0.2500 0.5846
0.5000 0.0000 0.1654
0.0000 0.0000 0.6654
0.0000 0.5000 0.8346
0.5000 0.5000 0.3346
0.5000 0.0000 0.8346
0.2500 0.2500 0.0846
0.2500 0.3319 0.7500
0.0000 0.5819 0.5000
0.2500 0.8319 0.2500
0.2500 0.6681 0.2500
0.7500 0.3319 0.2500
0.7500 0.6681 0.7500
0.5000 0.0819 0.5000
0.7500 0.8319 0.7500
0.5000 0.4181 0.0000
0.5000 0.9181 0.5000
0.0000 0.9181 0.0000
0.2500 0.1681 0.7500
0.5000 0.5819 0.0000
0.0000 0.0819 0.0000
0.7500 0.1681 0.2500
0.0000 0.4181 0.5000

=====

No. 2
NaRuRh (PBE, optimized geometry); total magnetization = 0.00 μB/cell; final energy = -5.658 eV per atom; theoretical density = 7.05 g cm⁻³; ΔH_f (0 K) = 0.97 eV per formula unit; distance to the lowest polymorph of the same formula = 31 meV per atom
1.0
2.7117 -0.0017 0.0010
-0.0164 7.4799 -0.0018
1.3577 -2.1137 5.2719
Rh Na Ru
2 2 2
Direct
0.9586 0.1992 0.0850
0.0414 0.8008 0.9150
0.6467 0.3949 0.6983
0.3533 0.6051 0.3017
0.6583 0.9900 0.6855
0.3417 0.0100 0.3145

=====

No. 3
SmTlAg4 (PBE, optimized geometry); total magnetization = 0.00 μB/cell; final energy = -3.260 eV per atom; theoretical density = 10.18 g cm⁻³; ΔH_f (0 K) = -1.07 eV per formula unit
1.0
5.6614 0.0000 0.0000
2.8307 4.9029 0.0000
2.8307 1.6343 4.6225
Ag Tl Sm
4 1 1
Direct
0.6250 0.6250 0.6250
0.6250 0.6250 0.1251
0.6250 0.1251 0.6250
0.1251 0.6250 0.6250
0.0000 0.0000 0.0000
0.2500 0.2500 0.2500